GGA-PBE CaGd2Pu, relaxed; formation enthalpy at 0 K = 0.225 eV/atom
1.0
1.749 1.010 12.372
-1.749 1.010 12.372
0.000 -2.019 12.372
Ca Gd Pu
1 2 1
direct
0.000 0.000 0.000
0.092 0.092 0.092
0.908 0.908 0.908
0.500 0.500 0.500